Density functional theory data (PBE) for a geometry-optimized Zn7Pd2Au2 structure.

Total magnetic moment ... 0.00 μB/f.u.
Calculated volume ... 177.2 Å³/f.u.
Uncorrected energy ... -28.421 eV/cell
Symmetry ... No. 12

Geometry as POSCAR:
```
Zn7Pd2Au2
1.0
4.7663 -3.9886 0.0000
4.7663 3.9886 0.0000
-0.7577 0.0000 4.6605
Zn Pd Au
7 2 2
direct
0.0000 0.0000 0.0000
0.0623 0.4082 0.2513
0.4082 0.0623 0.2513
0.4673 0.4673 0.2363
0.5327 0.5327 0.7637
0.5918 0.9377 0.7487
0.9377 0.5918 0.7487
0.2570 0.2570 0.7853
0.7430 0.7430 0.2147
0.1905 0.8095 0.5000
0.8095 0.1905 0.5000
```

***

Density functional theory data (PBE) for a geometry-optimized YTaAl structure.

Total magnetic moment ... 0.00 μB/f.u.
Calculated volume ... 64.0 Å³/f.u.
Offset from the most stable computed form ... 234.2 meV/atom
Symmetry ... No. 44

Geometry as POSCAR:
```
YTaAl
1.0
3.1528 0.0000 0.0000
0.0000 3.9236 0.0000
0.0000 0.0000 10.3495
Y Ta Al
2 2 2
direct
0.0000 0.0000 0.0000
0.5000 0.5000 0.5000
0.0000 0.0000 0.3118
0.5000 0.5000 0.8118
0.0000 0.0000 0.6907
0.5000 0.5000 0.1907
```

***

Density functional theory data (PBE) for a geometry-optimized Pu3Ga4Hg2 structure.

Total magnetic moment ... 6.05 μB/f.u.
Calculated volume ... 195.1 Å³/f.u.
Uncorrected energy ... -57.973 eV/cell
Symmetry ... No. 12

Geometry as POSCAR:
```
Pu3Ga4Hg2
1.0
5.2941 -2.4173 0.0000
5.2941 2.4173 0.0000
-4.5955 0.0000 7.6217
Pu Ga Hg
3 4 2
direct
0.0000 0.0000 0.0000
0.3312 0.3312 0.3290
0.6688 0.6688 0.6710
0.0410 0.0410 0.3814
0.2616 0.2616 0.9379
0.7384 0.7384 0.0621
0.9590 0.9590 0.6186
0.3894 0.3894 0.7234
0.6106 0.6106 0.2766
```

***

Density functional theory data (PBE) for a geometry-optimized MnCuNi6 structure.

Total magnetic moment ... 7.42 μB/f.u.
Calculated volume ... 106.2 Å³/f.u.
Offset from the most stable computed form ... 547.1 meV/atom
Symmetry ... No. 166

Geometry as POSCAR:
```
MnCuNi6
1.0
3.1377 1.8116 3.1131
-3.1377 1.8116 3.1131
0.0000 -3.6231 3.1131
Mn Cu Ni
1 1 6
direct
0.0000 0.0000 0.0000
0.5000 0.5000 0.5000
0.0251 0.6527 0.6527
0.3473 0.3473 0.9749
0.3473 0.9749 0.3473
0.6527 0.0251 0.6527
0.6527 0.6527 0.0251
0.9749 0.3473 0.3473
```

***

Density functional theory data (PBE) for a geometry-optimized Hg2OsW structure.

Total magnetic moment ... 0.00 μB/f.u.
Calculated volume ... 71.8 Å³/f.u.
Offset from the most stable computed form ... 642.7 meV/atom
Symmetry ... No. 123

Geometry as POSCAR:
```
Hg2OsW
1.0
3.9450 0.0000 0.0000
0.0000 3.9450 0.0000
0.0000 0.0000 4.6122
Hg Os W
2 1 1
direct
0.0000 0.5000 0.0000
0.5000 0.0000 0.0000
0.0000 0.0000 0.5000
0.5000 0.5000 0.5000
```

***

Density functional theory data (PBE) for a geometry-optimized Ce4AgAu structure.

Total magnetic moment ... 0.90 μB/f.u.
Calculated volume ... 144.4 Å³/f.u.
Uncorrected energy ... -61.555 eV/cell
Symmetry ... No. 63

Geometry as POSCAR:
```
Ce4AgAu
1.0
3.1704 -8.2759 0.0000
3.1704 8.2759 0.0000
0.0000 0.0000 5.5044
Ce Ag Au
8 2 2
direct
0.0879 0.3733 0.2500
0.2080 0.2570 0.7500
0.2570 0.2080 0.2500
0.3733 0.0879 0.7500
0.6267 0.9121 0.2500
0.7430 0.7920 0.7500
0.7920 0.7430 0.2500
0.9121 0.6267 0.7500
0.3099 0.6901 0.7500
0.6901 0.3099 0.2500
0.1987 0.8013 0.2500
0.8013 0.1987 0.7500
```

***

Density functional theory data (PBE) for a geometry-optimized Cs2KHg3F8 structure.

Total magnetic moment ... 0.00 μB/f.u.
Calculated volume ... 339.8 Å³/f.u.
Uncorrected energy ... -45.242 eV/cell
Symmetry ... No. 160

Geometry as POSCAR:
```
Cs2KHg3F8
1.0
3.7273 2.1520 7.0596
-3.7273 2.1520 7.0596
0.0000 -4.3040 7.0596
Cs K Hg F
2 1 3 8
direct
0.0000 0.0000 0.0000
0.3477 0.3477 0.3477
0.8241 0.8241 0.8241
0.3584 0.3584 0.8452
0.3584 0.8452 0.3584
0.8452 0.3584 0.3584
0.0790 0.0790 0.5670
0.0790 0.5670 0.0790
0.1355 0.1355 0.1355
0.1659 0.5993 0.5993
0.5670 0.0790 0.0790
0.5790 0.5790 0.5790
0.5993 0.1659 0.5993
0.5993 0.5993 0.1659
```

***

Density functional theory data (PBE) for a geometry-optimized K2CdSiAu structure.

Total magnetic moment ... 0.21 μB/f.u.
Calculated volume ... 194.3 Å³/f.u.
Uncorrected energy ... -11.771 eV/cell
Symmetry ... No. 123

Geometry as POSCAR:
```
K2CdSiAu
1.0
6.4912 0.0000 0.0000
0.0000 6.4912 0.0000
0.0000 0.0000 4.6123
K Cd Si Au
2 1 1 1
direct
0.0000 0.5000 0.0000
0.5000 0.0000 0.0000
0.0000 0.0000 0.5000
0.5000 0.5000 0.5000
0.5000 0.5000 0.0000
```